# CsLiSCl2 (PBE-GGA, optimized geometry)
data_CsLiSCl2
_chemical_formula_sum 'Cs1 Li1 S1 Cl2'
_symmetry_space_group_name_H-M 'P 1'
_symmetry_Int_Tables_number 1
_cell_length_a 5.1825
_cell_length_b 5.1825
_cell_length_c 4.7830
_cell_angle_alpha 90.00
_cell_angle_beta 90.00
_cell_angle_gamma 90.00
loop_
_symmetry_equiv_pos_as_xyz
'x,y,z'
loop_
_atom_site_label
_atom_site_type_symbol
_atom_site_fract_x
_atom_site_fract_y
_atom_site_fract_z
Cs1 Cs 0.0000 0.0000 0.0000
Li1 Li 0.5000 0.5000 0.5000
S1 S 0.5000 0.5000 0.0000
Cl1 Cl 0.0000 0.5000 0.5000
Cl2 Cl 0.5000 0.0000 0.5000
# DOS(E_F) in states/eV per cell: 1.63
# Total magnetization in μB/cell: 2.0
# Symmetry: P4/mmm
# Offset from the most stable computed form in eV/atom: 0.000
# V in Å³/atom: 25.69
# Formation energy from raw total energies in eV per atom: -0.925